A plane-wave DFT calculation with GGA-PBE was carried out for an optimized crystal structure of RbDyMnTe3.

Cell and atoms, written as CIF:
```
data_RbDyMnTe3
_chemical_formula_sum 'Rb2 Dy2 Mn2 Te6'
_symmetry_space_group_name_H-M 'P 1 21/m 1'
_symmetry_Int_Tables_number 11
_symmetry_space_group_name_Hall '-P 2yb'
_cell_length_a 9.963
_cell_length_b 4.493
_cell_length_c 10.689
_cell_angle_alpha 90.00
_cell_angle_beta 109.84
_cell_angle_gamma 90.00
loop_
_atom_site_label
_atom_site_fract_x
_atom_site_fract_y
_atom_site_fract_z
Rb1 0.211 0.250 0.241
Dy1 0.331 0.750 0.861
Mn1 0.084 0.250 0.607
Te1 0.114 0.250 0.865
Te2 0.209 0.750 0.540
Te3 0.468 0.750 0.164
```

Values from the calculation:
* raw formation energy: -0.970 eV per atom
* crystal system: monoclinic
* E_tot: -29.98 eV per formula unit

---

A plane-wave DFT calculation with GGA-PBE was carried out for an optimized crystal structure of Dy2HoPd.

Cell and atoms, written as CIF:
```
data_Dy2HoPd
_chemical_formula_sum 'Dy8 Ho4 Pd4'
_symmetry_space_group_name_H-M 'P n m a'
_symmetry_Int_Tables_number 62
_symmetry_space_group_name_Hall '-P 2ac 2n'
_cell_length_a 7.002
_cell_length_b 9.680
_cell_length_c 6.451
_cell_angle_alpha 90.00
_cell_angle_beta 90.00
_cell_angle_gamma 90.00
loop_
_atom_site_label
_atom_site_fract_x
_atom_site_fract_y
_atom_site_fract_z
Dy1 0.182 0.059 0.176
Ho1 0.024 0.250 0.632
Pd1 0.110 0.750 0.944
```

Values from the calculation:
* crystal system: orthorhombic
* energy above the most stable polymorph in this dataset: 0.000 eV per atom
* E_tot: -20.88 eV per formula unit

---

A plane-wave DFT calculation with GGA-PBE was carried out for an optimized crystal structure of YAgBr.

Cell and atoms, written as CIF:
```
data_YAgBr
_chemical_formula_sum 'Y4 Ag4 Br4'
_symmetry_space_group_name_H-M 'F -4 3 m'
_symmetry_Int_Tables_number 216
_symmetry_space_group_name_Hall 'F -4 2 3'
_cell_length_a 7.010
_cell_length_b 7.010
_cell_length_c 7.010
_cell_angle_alpha 90.00
_cell_angle_beta 90.00
_cell_angle_gamma 90.00
loop_
_atom_site_label
_atom_site_fract_x
_atom_site_fract_y
_atom_site_fract_z
Y1 0.000 0.000 0.000
Ag1 0.250 0.250 0.250
Br1 0.250 0.250 0.750
```

Values from the calculation:
* raw formation energy: -0.382 eV per atom
* crystal system: cubic
* energy above the most stable polymorph in this dataset: 0.467 eV per atom
* E_tot: -12.13 eV per formula unit

---

A plane-wave DFT calculation with GGA-PBE was carried out for an optimized crystal structure of MnBeVNi.

Cell and atoms, written as CIF:
```
data_MnBeVNi
_chemical_formula_sum 'Mn4 Be4 V4 Ni4'
_symmetry_space_group_name_H-M 'F -4 3 m'
_symmetry_Int_Tables_number 216
_symmetry_space_group_name_Hall 'F -4 2 3'
_cell_length_a 5.549
_cell_length_b 5.549
_cell_length_c 5.549
_cell_angle_alpha 90.00
_cell_angle_beta 90.00
_cell_angle_gamma 90.00
loop_
_atom_site_label
_atom_site_fract_x
_atom_site_fract_y
_atom_site_fract_z
Mn1 0.000 0.000 0.000
Be1 0.250 0.250 0.250
V1 0.250 0.250 0.750
Ni1 0.000 0.000 0.500
```

Values from the calculation:
* crystal system: cubic
* E_tot: -28.47 eV per formula unit

---

A plane-wave DFT calculation with GGA-PBE was carried out for an optimized crystal structure of CaBe2Ni.

Cell and atoms, written as CIF:
```
data_CaBe2Ni
_chemical_formula_sum 'Ca1 Be2 Ni1'
_symmetry_space_group_name_H-M 'P m m 2'
_symmetry_Int_Tables_number 25
_symmetry_space_group_name_Hall 'P 2 -2'
_cell_length_a 2.940
_cell_length_b 2.980
_cell_length_c 6.429
_cell_angle_alpha 90.00
_cell_angle_beta 90.00
_cell_angle_gamma 90.00
loop_
_atom_site_label
_atom_site_fract_x
_atom_site_fract_y
_atom_site_fract_z
Ca1 0.000 0.000 0.000
Be1 0.000 0.000 0.521
Be2 0.500 0.500 0.343
Ni1 0.500 0.500 0.674
```

Values from the calculation:
* crystal system: orthorhombic
* energy above the most stable polymorph in this dataset: 0.327 eV per atom
* E_tot: -14.55 eV per formula unit

---

A plane-wave DFT calculation with GGA-PBE was carried out for an optimized crystal structure of Nd2PdRh2.

Cell and atoms, written as CIF:
```
data_Nd2PdRh2
_chemical_formula_sum 'Nd4 Pd2 Rh4'
_symmetry_space_group_name_H-M 'I m m m'
_symmetry_Int_Tables_number 71
_symmetry_space_group_name_Hall '-I 2 2'
_cell_length_a 4.554
_cell_length_b 5.706
_cell_length_c 8.234
_cell_angle_alpha 90.00
_cell_angle_beta 90.00
_cell_angle_gamma 90.00
loop_
_atom_site_label
_atom_site_fract_x
_atom_site_fract_y
_atom_site_fract_z
Nd1 0.000 0.000 0.204
Pd1 0.000 0.500 0.000
Rh1 0.000 0.264 0.500
```

Values from the calculation:
* crystal system: orthorhombic
* E_tot: -32.84 eV per formula unit

---

A plane-wave DFT calculation with GGA-PBE was carried out for an optimized crystal structure of PmSc5.

Cell and atoms, written as CIF:
```
data_PmSc5
_chemical_formula_sum 'Pm2 Sc10'
_symmetry_space_group_name_H-M 'C 1 m 1'
_symmetry_Int_Tables_number 8
_symmetry_space_group_name_Hall 'C -2y'
_cell_length_a 12.060
_cell_length_b 3.387
_cell_length_c 7.861
_cell_angle_alpha 90.00
_cell_angle_beta 103.07
_cell_angle_gamma 90.00
loop_
_atom_site_label
_atom_site_fract_x
_atom_site_fract_y
_atom_site_fract_z
Pm1 0.000 0.000 0.000
Sc1 0.119 0.500 0.720
Sc2 0.172 0.500 0.347
Sc3 0.278 0.000 0.071
Sc4 0.333 0.000 0.664
Sc5 0.447 0.500 0.399
```

Values from the calculation:
* crystal system: monoclinic
* energy above the most stable polymorph in this dataset: 0.000 eV per atom
* E_tot: -36.25 eV per formula unit

---

A plane-wave DFT calculation with GGA-PBE was carried out for an optimized crystal structure of Li4PrGd.

Cell and atoms, written as CIF:
```
data_Li4PrGd
_chemical_formula_sum 'Li16 Pr4 Gd4'
_symmetry_space_group_name_H-M 'F -4 3 m'
_symmetry_Int_Tables_number 216
_symmetry_space_group_name_Hall 'F -4 2 3'
_cell_length_a 8.402
_cell_length_b 8.402
_cell_length_c 8.402
_cell_angle_alpha 90.00
_cell_angle_beta 90.00
_cell_angle_gamma 90.00
loop_
_atom_site_label
_atom_site_fract_x
_atom_site_fract_y
_atom_site_fract_z
Li1 0.125 0.125 0.125
Pr1 0.250 0.250 0.750
Gd1 0.000 0.000 0.500
```

Values from the calculation:
* crystal system: cubic
* E_tot: -25.90 eV per formula unit

---

A plane-wave DFT calculation with GGA-PBE was carried out for an optimized crystal structure of NiH3N.

Cell and atoms, written as CIF:
```
data_NiH3N
_chemical_formula_sum 'Ni1 H3 N1'
_symmetry_space_group_name_H-M 'P m -3 m'
_symmetry_Int_Tables_number 221
_symmetry_space_group_name_Hall '-P 4 2 3'
_cell_length_a 3.205
_cell_length_b 3.205
_cell_length_c 3.205
_cell_angle_alpha 90.00
_cell_angle_beta 90.00
_cell_angle_gamma 90.00
loop_
_atom_site_label
_atom_site_fract_x
_atom_site_fract_y
_atom_site_fract_z
Ni1 0.000 0.000 0.000
H1 0.000 0.000 0.500
N1 0.500 0.500 0.500
```

Values from the calculation:
* crystal system: cubic
* energy above the most stable polymorph in this dataset: 0.231 eV per atom
* E_tot: -17.70 eV per formula unit

---

A plane-wave DFT calculation with GGA-PBE was carried out for an optimized crystal structure of Ge3BIr.

Cell and atoms, written as CIF:
```
data_Ge3BIr
_chemical_formula_sum 'Ge3 B1 Ir1'
_symmetry_space_group_name_H-M 'P m -3 m'
_symmetry_Int_Tables_number 221
_symmetry_space_group_name_Hall '-P 4 2 3'
_cell_length_a 4.268
_cell_length_b 4.268
_cell_length_c 4.268
_cell_angle_alpha 90.00
_cell_angle_beta 90.00
_cell_angle_gamma 90.00
loop_
_atom_site_label
_atom_site_fract_x
_atom_site_fract_y
_atom_site_fract_z
Ge1 0.000 0.000 0.500
B1 0.000 0.000 0.000
Ir1 0.500 0.500 0.500
```

Values from the calculation:
* crystal system: cubic
* energy above the most stable polymorph in this dataset: 0.000 eV per atom
* E_tot: -25.40 eV per formula unit

---

A plane-wave DFT calculation with GGA-PBE was carried out for an optimized crystal structure of ErZn2Ga3.

Cell and atoms, written as CIF:
```
data_ErZn2Ga3
_chemical_formula_sum 'Er4 Zn8 Ga12'
_symmetry_space_group_name_H-M 'C 1 2/m 1'
_symmetry_Int_Tables_number 12
_symmetry_space_group_name_Hall '-C 2y'
_cell_length_a 15.647
_cell_length_b 4.283
_cell_length_c 6.640
_cell_angle_alpha 90.00
_cell_angle_beta 101.32
_cell_angle_gamma 90.00
loop_
_atom_site_label
_atom_site_fract_x
_atom_site_fract_y
_atom_site_fract_z
Er1 0.114 0.000 0.179
Zn1 0.035 0.500 0.850
Zn2 0.236 0.000 0.646
Ga1 0.063 0.000 0.665
Ga2 0.119 0.500 0.494
Ga3 0.204 0.500 0.936
```

Values from the calculation:
* crystal system: monoclinic
* E_tot: -17.94 eV per formula unit

---

A plane-wave DFT calculation with GGA-PBE was carried out for an optimized crystal structure of U3Al2Au4.

Cell and atoms, written as CIF:
```
data_U3Al2Au4
_chemical_formula_sum 'U6 Al4 Au8'
_symmetry_space_group_name_H-M 'C 1 2/m 1'
_symmetry_Int_Tables_number 12
_symmetry_space_group_name_Hall '-C 2y'
_cell_length_a 10.489
_cell_length_b 4.362
_cell_length_c 8.128
_cell_angle_alpha 90.00
_cell_angle_beta 92.14
_cell_angle_gamma 90.00
loop_
_atom_site_label
_atom_site_fract_x
_atom_site_fract_y
_atom_site_fract_z
U1 0.000 0.000 0.000
U2 0.081 0.500 0.226
Al1 0.226 0.500 0.589
Au1 0.095 0.000 0.631
Au2 0.210 0.500 0.894
```

Values from the calculation:
* crystal system: monoclinic
* E_tot: -55.55 eV per formula unit

---

A plane-wave DFT calculation with GGA-PBE was carried out for an optimized crystal structure of FeSiRu2.

Cell and atoms, written as CIF:
```
data_FeSiRu2
_chemical_formula_sum 'Fe1 Si1 Ru2'
_symmetry_space_group_name_H-M 'P m m m'
_symmetry_Int_Tables_number 47
_symmetry_space_group_name_Hall '-P 2 2'
_cell_length_a 2.871
_cell_length_b 4.072
_cell_length_c 4.500
_cell_angle_alpha 90.00
_cell_angle_beta 90.00
_cell_angle_gamma 90.00
loop_
_atom_site_label
_atom_site_fract_x
_atom_site_fract_y
_atom_site_fract_z
Fe1 0.000 0.000 0.000
Si1 0.500 0.000 0.500
Ru1 0.000 0.500 0.500
Ru2 0.500 0.500 0.000
```

Values from the calculation:
* raw formation energy: -0.029 eV per atom
* crystal system: orthorhombic
* E_tot: -32.56 eV per formula unit

---

A plane-wave DFT calculation with GGA-PBE was carried out for an optimized crystal structure of LiPm2Sm.

Cell and atoms, written as CIF:
```
data_LiPm2Sm
_chemical_formula_sum 'Li3 Pm6 Sm3'
_symmetry_space_group_name_H-M 'R -3 m'
_symmetry_Int_Tables_number 166
_symmetry_space_group_name_Hall '-R 3 2"'
_cell_length_a 3.5301
_cell_length_b 3.5301
_cell_length_c 37.2981
_cell_angle_alpha 90.00
_cell_angle_beta 90.00
_cell_angle_gamma 120.00
loop_
_atom_site_label
_atom_site_fract_x
_atom_site_fract_y
_atom_site_fract_z
Li1 0.0000 0.0000 0.0000
Pm1 0.0000 0.0000 0.0884
Sm1 0.0000 0.0000 0.5000
```

Values from the calculation:
* crystal system: trigonal
* energy above the most stable polymorph in this dataset: 0.110 eV per atom
* E_tot: -15.44 eV per formula unit

---

A plane-wave DFT calculation with GGA-PBE was carried out for an optimized crystal structure of LaCeMg2.

Cell and atoms, written as CIF:
```
data_LaCeMg2
_chemical_formula_sum 'La4 Ce4 Mg8'
_symmetry_space_group_name_H-M 'F m -3 m'
_symmetry_Int_Tables_number 225
_symmetry_space_group_name_Hall '-F 4 2 3'
_cell_length_a 7.809
_cell_length_b 7.809
_cell_length_c 7.809
_cell_angle_alpha 90.00
_cell_angle_beta 90.00
_cell_angle_gamma 90.00
loop_
_atom_site_label
_atom_site_fract_x
_atom_site_fract_y
_atom_site_fract_z
La1 0.000 0.000 0.000
Ce1 0.000 0.000 0.500
Mg1 0.250 0.250 0.250
```

Values from the calculation:
* crystal system: cubic
* energy above the most stable polymorph in this dataset: 0.003 eV per atom
* E_tot: -14.07 eV per formula unit

---

A plane-wave DFT calculation with GGA-PBE was carried out for an optimized crystal structure of V3Ir2Os.

Cell and atoms, written as CIF:
```
data_V3Ir2Os
_chemical_formula_sum 'V12 Ir8 Os4'
_symmetry_space_group_name_H-M 'C m m m'
_symmetry_Int_Tables_number 65
_symmetry_space_group_name_Hall '-C 2 2'
_cell_length_a 3.925
_cell_length_b 11.817
_cell_length_c 7.225
_cell_angle_alpha 90.00
_cell_angle_beta 90.00
_cell_angle_gamma 90.00
loop_
_atom_site_label
_atom_site_fract_x
_atom_site_fract_y
_atom_site_fract_z
V1 0.000 0.000 0.249
V2 0.000 0.333 0.247
Ir1 0.000 0.167 0.500
Ir2 0.000 0.500 0.000
Ir3 0.000 0.500 0.500
Os1 0.000 0.165 0.000
```

Values from the calculation:
* crystal system: orthorhombic
* energy above the most stable polymorph in this dataset: 0.003 eV per atom
* E_tot: -58.50 eV per formula unit

---

A plane-wave DFT calculation with GGA-PBE was carried out for an optimized crystal structure of NpB.

Cell and atoms, written as CIF:
```
data_NpB
_chemical_formula_sum 'Np2 B2'
_symmetry_space_group_name_H-M 'P 1 21/m 1'
_symmetry_Int_Tables_number 11
_symmetry_space_group_name_Hall '-P 2yb'
_cell_length_a 3.328
_cell_length_b 3.210
_cell_length_c 4.921
_cell_angle_alpha 90.00
_cell_angle_beta 109.66
_cell_angle_gamma 90.00
loop_
_atom_site_label
_atom_site_fract_x
_atom_site_fract_y
_atom_site_fract_z
Np1 0.186 0.250 0.374
B1 0.461 0.250 0.921
```

Values from the calculation:
* crystal system: monoclinic
* E_tot: -19.88 eV per formula unit

---

A plane-wave DFT calculation with GGA-PBE was carried out for an optimized crystal structure of MnFe2Rh.

Cell and atoms, written as CIF:
```
data_MnFe2Rh
_chemical_formula_sum 'Mn2 Fe4 Rh2'
_symmetry_space_group_name_H-M 'C 1 2/m 1'
_symmetry_Int_Tables_number 12
_symmetry_space_group_name_Hall '-C 2y'
_cell_length_a 8.671
_cell_length_b 2.627
_cell_length_c 4.437
_cell_angle_alpha 90.00
_cell_angle_beta 100.56
_cell_angle_gamma 90.00
loop_
_atom_site_label
_atom_site_fract_x
_atom_site_fract_y
_atom_site_fract_z
Mn1 0.000 0.000 0.000
Fe1 0.248 0.500 0.242
Rh1 0.000 0.500 0.500
```

Values from the calculation:
* crystal system: monoclinic
* E_tot: -33.23 eV per formula unit

---

A plane-wave DFT calculation with GGA-PBE was carried out for an optimized crystal structure of Mg6ZnAg.

Cell and atoms, written as CIF:
```
data_Mg6ZnAg
_chemical_formula_sum 'Mg12 Zn2 Ag2'
_symmetry_space_group_name_H-M 'I 4/m m m'
_symmetry_Int_Tables_number 139
_symmetry_space_group_name_Hall '-I 4 2'
_cell_length_a 4.590
_cell_length_b 4.590
_cell_length_c 15.669
_cell_angle_alpha 90.00
_cell_angle_beta 90.00
_cell_angle_gamma 90.00
loop_
_atom_site_label
_atom_site_fract_x
_atom_site_fract_y
_atom_site_fract_z
Mg1 0.000 0.000 0.250
Mg2 0.000 0.500 0.109
Zn1 0.000 0.000 0.000
Ag1 0.000 0.000 0.500
```

Values from the calculation:
* crystal system: tetragonal
* E_tot: -14.26 eV per formula unit

---

A plane-wave DFT calculation with GGA-PBE was carried out for an optimized crystal structure of NdSm2PuO8.

Cell and atoms, written as CIF:
```
data_NdSm2PuO8
_chemical_formula_sum 'Nd1 Sm2 Pu1 O8'
_symmetry_space_group_name_H-M 'P -1'
_symmetry_Int_Tables_number 2
_symmetry_space_group_name_Hall '-P 1'
_cell_length_a 4.025
_cell_length_b 5.528
_cell_length_c 7.580
_cell_angle_alpha 89.12
_cell_angle_beta 89.62
_cell_angle_gamma 84.05
loop_
_atom_site_label
_atom_site_fract_x
_atom_site_fract_y
_atom_site_fract_z
Nd1 0.000 0.000 0.000
Sm1 0.499 0.510 0.242
Pu1 0.000 0.000 0.500
O1 0.039 0.248 0.723
O2 0.050 0.222 0.288
O3 0.427 0.784 0.498
O4 0.494 0.256 0.007
```

Values from the calculation:
* raw formation energy: -3.005 eV per atom
* crystal system: triclinic
* E_tot: -104.26 eV per formula unit